# 1
Material: Ta2Ge2O7
Method: DFT, SCAN
State: PBEsol geometry

The space group is Cmc2_1 (No. 36) and the conventional cell measures 3.904, 26.181 and 5.646 Å, with angles of 90.00, 90.00 and 90.00 degrees. Symmetry generates all atoms from Ta at (0.000, 0.055, 0.000), Ta at (0.000, 0.162, 0.473), Ge at (0.000, 0.287, 0.423), Ge at (0.000, 0.433, 0.060), O at (0.000, 0.006, 0.240), O at (0.000, 0.094, 0.669), O at (0.000, 0.113, 0.189), O at (0.000, 0.203, 0.752), O at (0.000, 0.222, 0.278), O at (0.000, 0.351, 0.002) and O at (0.000, 0.443, 0.420).

Its crystal system is orthorhombic. For the density of states at the Fermi level, the calculation gives 0.0 states/eV per cell. For the total energy, the calculation gives -959.99 eV for the cell shown.

***

# 2
Material: BeFe2Ir
Method: DFT, SCAN
State: PBEsol geometry

The space group is Cmmm (No. 65) and the conventional cell measures 4.778, 7.372 and 2.565 Å, with angles of 90.00, 90.00 and 90.00 degrees. Symmetry generates all atoms from Be at (0.000, 0.000, 0.000), Fe at (0.250, 0.250, 0.500) and Ir at (0.000, 0.500, 0.000).

Its crystal system is orthorhombic. For the density of states at the Fermi level, the calculation gives 5.5 states/eV per cell. For the total energy, the calculation gives -224.89 eV for the cell shown. Its formation energy is -0.735 eV/f.u.